1.
DFT (PBE-GGA) results for a relaxed structure of GeTe2PtS.

The space group is P4/mmm (No. 123) and the conventional cell measures 5.437, 5.437 and 4.673 Å, with angles of 90.00, 90.00 and 90.00 degrees. The asymmetric unit holds Ge at (0.000, 0.000, 0.000), Te at (0.000, 0.500, 0.500), Pt at (0.000, 0.000, 0.500) and S at (0.500, 0.500, 0.000).

The calculation puts the calculated density at 6.670 g/cm3. The calculation puts the raw total energy at -3.685 eV per atom. The total magnetic moment is 0.0 μB/cell.

=====

2.
DFT (PBE-GGA) results for a relaxed structure of Tl2GePtS4.

The space group is Fddd (No. 70, origin choice 2) and the conventional cell measures 6.780, 14.773 and 19.646 Å, with angles of 90.00, 90.00 and 90.00 degrees. The asymmetric unit holds Tl at (0.125, 0.125, 0.285), Ge at (0.125, 0.125, 0.625), Pt at (0.125, 0.125, 0.125) and S at (0.119, 0.273, 0.852).

The calculation puts the calculated density at 5.433 g/cm3. The calculation puts the raw total energy at -4.268 eV per atom. The total magnetic moment is 0.0 μB/cell.

=====

- Which value of calculated density does entry 2 give?
  5.433 g/cm3

=====

- Among the records above, which one has the highest calculated density?
  GeTe2PtS

=====

- What is the raw total energy in the second record?
  -4.268 eV per atom

=====

- Look up the total magnetic moment of the second one.
  0.0 μB/cell